(A)
A plane-wave DFT calculation with GGA-PBE was carried out for a relaxed SiAgRh3 crystal.

a b c (Å): 4.423 4.423 4.423
angles (deg): 90.00 90.00 90.00
Each line ends with the local moment (μB).
Fractional positions:
Rh 0.000 0.000 0.500  0.51
Rh 0.000 0.500 0.000  0.39
Ag 0.500 0.500 0.500  0.02
Rh 0.500 0.000 0.000  0.29
Si 0.000 0.000 0.000  -0.01

Values from the calculation:
As for the crystal system: cubic. For the density of states at the Fermi level, the calculation gives 6.792 states/eV/f.u. The space-group type is Pm-3m (221).

=====

(B)
A plane-wave DFT calculation with GGA-PBE was carried out for a relaxed SiAgRh3 crystal.

a b c (Å): 4.765 4.765 4.765
angles (deg): 90.00 90.00 90.00
Each line ends with the local moment (μB).
Fractional positions:
Rh 0.500 0.000 0.000  0.15
Si 0.500 0.500 0.500  -0.01
Ag 0.000 0.000 0.000  -0.01
Rh 0.000 0.000 0.500  0.21
Rh 0.000 0.500 0.000  0.18

Values from the calculation:
As for the crystal system: cubic. For the density of states at the Fermi level, the calculation gives 6.055 states/eV/f.u. The space-group type is Pm-3m (221).

=====

What should be chosen as the least stable of them? Choose (B).

=====

(A)
A plane-wave DFT calculation with GGA-PBE was carried out for a relaxed SiAgRh crystal.

a b c (Å): 4.092 4.092 4.092
angles (deg): 60.00 60.00 60.00
Fractional positions:
Rh 0.500 0.500 0.500
Si 0.750 0.750 0.750
Ag 0.000 0.000 0.000

Values from the calculation:
As for the crystal system: cubic. For the density of states at the Fermi level, the calculation gives 0.720 states/eV/f.u. The space-group type is F-43m (216).

=====

(B)
A plane-wave DFT calculation with GGA-PBE was carried out for a relaxed SiAgRh crystal.

a b c (Å): 4.095 4.095 3.180
angles (deg): 90.00 90.00 120.00
Fractional positions:
Ag 0.000 0.000 0.997
Rh 0.667 0.333 0.497
Si 0.333 0.667 0.506

Values from the calculation:
As for the crystal system: trigonal. For the density of states at the Fermi level, the calculation gives 1.263 states/eV/f.u. The space-group type is P3m1 (156).

=====

(C)
A plane-wave DFT calculation with GGA-PBE was carried out for a relaxed SiAgRh crystal.

a b c (Å): 5.382 5.382 5.382
angles (deg): 148.80 145.30 47.35
Fractional positions:
Rh 0.301 0.301 0.000
Ag 0.007 0.007 0.000
Si 0.692 0.692 0.000

Values from the calculation:
As for the crystal system: orthorhombic. For the density of states at the Fermi level, the calculation gives 1.267 states/eV/f.u. The space-group type is Imm2 (44).

=====

What should be chosen as the least stable of them? Choose (A).

=====

(A)
A plane-wave DFT calculation with GGA-PBE was carried out for a relaxed Sm6AgRh3 crystal.

a b c (Å): 4.136 11.869 11.919
angles (deg): 108.44 90.00 90.00
Fractional positions:
Sm 0.750 0.769 0.771
Rh 0.250 0.304 0.489
Sm 0.750 0.388 0.042
Rh 0.250 0.842 0.933
Sm 0.250 0.291 0.735
Sm 0.750 0.131 0.456
Rh 0.750 0.696 0.511
Sm 0.250 0.063 0.899
Ag 0.750 0.064 0.697
Sm 0.250 0.869 0.544
Sm 0.250 0.612 0.958
Rh 0.250 0.540 0.169
Sm 0.750 0.709 0.265
Rh 0.750 0.460 0.831
Rh 0.750 0.158 0.067
Sm 0.250 0.539 0.401
Sm 0.750 0.937 0.101
Sm 0.250 0.231 0.229
Sm 0.750 0.461 0.599
Ag 0.250 0.936 0.303

Values from the calculation:
As for the crystal system: monoclinic. For the density of states at the Fermi level, the calculation gives 6.790 states/eV/f.u. The space-group type is P2_1/m (11).

=====

(B)
A plane-wave DFT calculation with GGA-PBE was carried out for a relaxed Sm6AgRh3 crystal.

a b c (Å): 7.225 8.945 8.945
angles (deg): 104.92 90.00 90.00
Fractional positions:
Rh 0.386 0.402 0.598
Sm 0.728 0.900 0.465
Sm 0.228 0.100 0.535
Sm 0.109 0.770 0.230
Ag 0.001 0.171 0.829
Rh 0.468 0.294 0.073
Sm 0.270 0.011 0.989
Sm 0.164 0.703 0.637
Sm 0.770 0.989 0.011
Rh 0.886 0.598 0.402
Sm 0.609 0.230 0.770
Sm 0.664 0.297 0.363
Sm 0.228 0.465 0.900
Rh 0.968 0.706 0.927
Rh 0.468 0.927 0.706
Sm 0.164 0.363 0.297
Sm 0.728 0.535 0.100
Sm 0.664 0.637 0.703
Rh 0.968 0.073 0.294
Ag 0.501 0.829 0.171

Values from the calculation:
As for the crystal system: orthorhombic. For the density of states at the Fermi level, the calculation gives 7.976 states/eV/f.u. The space-group type is Cmc2_1 (36).

=====

What should be chosen as the least stable of them? Choose (B).

=====

(A)
A plane-wave DFT calculation with GGA-PBE was carried out for a relaxed Sm8Ag2Rh crystal.

a b c (Å): 5.281 6.958 9.288
angles (deg): 104.68 106.52 90.00
Fractional positions:
Sm 0.411 0.562 0.823
Ag 0.813 0.272 0.627
Sm 0.027 0.787 0.053
Sm 0.973 0.213 0.947
Ag 0.187 0.728 0.373
Sm 0.342 0.028 0.684
Sm 0.589 0.438 0.177
Sm 0.201 0.315 0.401
Rh 0.500 0.000 0.000
Sm 0.799 0.685 0.599
Sm 0.658 0.972 0.316

Values from the calculation:
As for the crystal system: monoclinic. For the density of states at the Fermi level, the calculation gives 11.787 states/eV/f.u. The space-group type is C2/m (12).

=====

(B)
A plane-wave DFT calculation with GGA-PBE was carried out for a relaxed Sm8Ag2Rh crystal.

a b c (Å): 6.212 8.998 8.998
angles (deg): 129.74 103.08 103.08
Fractional positions:
Ag 0.484 0.726 0.286
Sm 0.652 0.156 0.388
Sm 0.985 0.810 0.198
Rh 0.283 0.002 0.002
Sm 0.985 0.198 0.810
Sm 0.141 0.281 0.281
Sm 0.286 0.841 0.610
Sm 0.652 0.388 0.156
Sm 0.764 0.734 0.734
Ag 0.484 0.286 0.726
Sm 0.286 0.610 0.841

Values from the calculation:
As for the crystal system: monoclinic. For the density of states at the Fermi level, the calculation gives 11.903 states/eV/f.u. The space-group type is Cm (8).

=====

What should be chosen as the least stable of them? Choose (B).

=====

(A)
A plane-wave DFT calculation with GGA-PBE was carried out for a relaxed Sm12AgRh6 crystal.

a b c (Å): 8.716 8.716 8.716
angles (deg): 109.47 109.47 109.47
Fractional positions:
Sm 0.187 0.697 0.884
Rh 0.133 0.633 0.500
Sm 0.813 0.697 0.510
Sm 0.510 0.813 0.697
Ag 0.000 0.000 0.000
Sm 0.116 0.813 0.303
Sm 0.697 0.510 0.813
Sm 0.303 0.116 0.813
Sm 0.490 0.187 0.303
Sm 0.697 0.884 0.187
Sm 0.813 0.303 0.116
Sm 0.303 0.490 0.187
Rh 0.867 0.367 0.500
Rh 0.500 0.867 0.367
Rh 0.367 0.500 0.867
Sm 0.884 0.187 0.697
Rh 0.500 0.133 0.633
Rh 0.633 0.500 0.133
Sm 0.187 0.303 0.490

Values from the calculation:
As for the crystal system: cubic. For the density of states at the Fermi level, the calculation gives 16.748 states/eV/f.u. The space-group type is Im-3 (204).

=====

(B)
A plane-wave DFT calculation with GGA-PBE was carried out for a relaxed Sm12AgRh6 crystal.

a b c (Å): 8.419 8.419 8.419
angles (deg): 101.74 101.74 101.74
Fractional positions:
Sm 0.433 0.825 0.583
Sm 0.932 0.332 0.077
Rh 0.385 0.692 0.861
Rh 0.308 0.139 0.615
Sm 0.077 0.932 0.332
Sm 0.332 0.077 0.932
Sm 0.417 0.567 0.175
Sm 0.068 0.668 0.923
Sm 0.668 0.923 0.068
Rh 0.139 0.615 0.308
Rh 0.692 0.861 0.385
Sm 0.175 0.417 0.567
Sm 0.567 0.175 0.417
Ag 0.000 0.000 0.000
Sm 0.583 0.433 0.825
Sm 0.923 0.068 0.668
Sm 0.825 0.583 0.433
Rh 0.615 0.308 0.139
Rh 0.861 0.385 0.692

Values from the calculation:
As for the crystal system: trigonal. For the density of states at the Fermi level, the calculation gives 12.713 states/eV/f.u. The space-group type is R-3 (148).

=====

What should be chosen as the least stable of them? Choose (B).

=====

(A)
A plane-wave DFT calculation with GGA-PBE was carried out for a relaxed TbSmAgRh crystal.

a b c (Å): 3.550 3.550 7.268
angles (deg): 90.00 90.00 90.00
Fractional positions:
Tb 0.000 0.000 0.377
Ag 0.500 0.500 0.116
Sm 0.000 0.000 0.836
Rh 0.500 0.500 0.600

Values from the calculation:
As for the crystal system: tetragonal. For the density of states at the Fermi level, the calculation gives 3.648 states/eV/f.u. The space-group type is P4mm (99).

=====

(B)
A plane-wave DFT calculation with GGA-PBE was carried out for a relaxed TbSmAgRh crystal.

a b c (Å): 5.048 5.048 5.048
angles (deg): 60.00 60.00 60.00
Fractional positions:
Sm 0.500 0.500 0.500
Rh 0.750 0.750 0.750
Ag 0.250 0.250 0.250
Tb 0.000 0.000 0.000

Values from the calculation:
As for the crystal system: cubic. For the density of states at the Fermi level, the calculation gives 3.543 states/eV/f.u. The space-group type is F-43m (216).

=====

What should be chosen as the least stable of them? Choose (B).

=====

(A)
A plane-wave DFT calculation with GGA-PBE was carried out for a relaxed AgSn2Rh2 crystal.

a b c (Å): 7.635 7.635 3.104
angles (deg): 90.00 90.00 90.00
Fractional positions:
Sn 0.659 0.841 0.500
Sn 0.841 0.341 0.500
Ag 0.500 0.500 0.000
Rh 0.861 0.639 0.000
Rh 0.639 0.139 0.000
Sn 0.159 0.659 0.500
Sn 0.341 0.159 0.500
Ag 0.000 0.000 0.000
Rh 0.361 0.861 0.000
Rh 0.139 0.361 0.000

Values from the calculation:
As for the crystal system: tetragonal. For the density of states at the Fermi level, the calculation gives 1.543 states/eV/f.u. The space-group type is P4/mbm (127).

=====

(B)
A plane-wave DFT calculation with GGA-PBE was carried out for a relaxed AgSn2Rh2 crystal.

a b c (Å): 4.240 4.240 6.535
angles (deg): 71.07 71.07 90.00
Fractional positions:
Ag 0.000 0.000 0.000
Sn 0.380 0.380 0.241
Rh 0.750 0.250 0.500
Sn 0.620 0.620 0.759
Rh 0.250 0.750 0.500

Values from the calculation:
As for the crystal system: tetragonal. For the density of states at the Fermi level, the calculation gives 2.038 states/eV/f.u. The space-group type is I4/mmm (139).

=====

What should be chosen as the least stable of them? Choose (B).

=====

(A)
A plane-wave DFT calculation with GGA-PBE was carried out for a relaxed AgSnRh crystal.

a b c (Å): 3.104 4.510 7.767
angles (deg): 90.00 101.53 90.00
Fractional positions:
Rh 0.436 0.250 0.872
Ag 0.773 0.250 0.547
Sn 0.091 0.250 0.183
Sn 0.909 0.750 0.817
Ag 0.227 0.750 0.453
Rh 0.564 0.750 0.128

Values from the calculation:
As for the crystal system: orthorhombic. For the density of states at the Fermi level, the calculation gives 1.654 states/eV/f.u. The space-group type is Cmcm (63).

=====

(B)
A plane-wave DFT calculation with GGA-PBE was carried out for a relaxed AgSnRh crystal.

a b c (Å): 3.120 4.498 4.498
angles (deg): 120.00 90.00 90.00
Fractional positions:
Ag 0.982 0.000 0.000
Rh 0.438 0.333 0.667
Sn 0.579 0.667 0.333

Values from the calculation:
As for the crystal system: trigonal. For the density of states at the Fermi level, the calculation gives 1.140 states/eV/f.u. The space-group type is P3m1 (156).

=====

What should be chosen as the least stable of them? Choose (B).